# 1
First-principles (PBE-GGA) data for an optimized crystal structure of ZnCdCoSb, as listed in OQMD via LeMat-Bulk.

Cell: 4.637 4.637 4.637 Å, 60.00 60.00 60.00°
Fractional coordinates of all 4 atoms:
Cd  0.500  0.500  0.500
Sb  0.000  0.000  0.000
Co  0.750  0.750  0.750
Zn  0.250  0.250  0.250

## Properties
Volume: 17.6 Å³/atom
E: -3.000 eV per atom

# 2
First-principles (PBE-GGA) data for an optimized crystal structure of ZrCdCoSb, as listed in OQMD via LeMat-Bulk.

Cell: 4.766 4.766 4.766 Å, 60.00 60.00 60.00°
Fractional coordinates of all 4 atoms:
Sb  0.000  0.000  0.000
Zr  0.500  0.500  0.500
Cd  0.250  0.250  0.250
Co  0.750  0.750  0.750

## Properties
Volume: 19.1 Å³/atom
E: -5.021 eV per atom

# 3
First-principles (PBE-GGA) data for an optimized crystal structure of ZrCdCoSb, as listed in OQMD via LeMat-Bulk.

Cell: 4.743 4.743 4.743 Å, 60.00 60.00 60.00°
Fractional coordinates of all 4 atoms:
Sb  0.000  0.000  0.000
Zr  0.250  0.250  0.250
Cd  0.500  0.500  0.500
Co  0.750  0.750  0.750

## Properties
Volume: 18.9 Å³/atom
E: -5.034 eV per atom

# 4
First-principles (PBE-GGA) data for an optimized crystal structure of ScCd2Co, as listed in OQMD via LeMat-Bulk.

Cell: 4.646 4.646 4.646 Å, 60.00 60.00 60.00°
Fractional coordinates of all 4 atoms:
Cd  0.750  0.750  0.750
Cd  0.000  0.000  0.000
Co  0.250  0.250  0.250
Sc  0.500  0.500  0.500

## Properties
Volume: 17.7 Å³/atom
ΔH_f (0 K): -0.0095 eV per atom
E: -3.816 eV per atom

# 5
First-principles (PBE-GGA) data for an optimized crystal structure of ScCdCoSi, as listed in OQMD via LeMat-Bulk.

Cell: 4.464 4.464 4.464 Å, 60.00 60.00 60.00°
Fractional coordinates of all 4 atoms:
Cd  0.500  0.500  0.500
Sc  0.250  0.250  0.250
Co  0.750  0.750  0.750
Si  0.000  0.000  0.000

## Properties
Volume: 15.7 Å³/atom
E: -5.052 eV per atom

# 6
First-principles (PBE-GGA) data for an optimized crystal structure of ScCdCoSi, as listed in OQMD via LeMat-Bulk.

Cell: 4.441 4.441 4.441 Å, 60.00 60.00 60.00°
Fractional coordinates of all 4 atoms:
Cd  0.250  0.250  0.250
Sc  0.500  0.500  0.500
Si  0.000  0.000  0.000
Co  0.750  0.750  0.750

## Properties
Volume: 15.5 Å³/atom
E: -4.993 eV per atom

# 7
First-principles (PBE-GGA) data for an optimized crystal structure of ScTlCdCo, as listed in OQMD via LeMat-Bulk.

Cell: 4.702 4.702 4.702 Å, 60.00 60.00 60.00°
Fractional coordinates of all 4 atoms:
Sc  0.250  0.250  0.250
Co  0.750  0.750  0.750
Tl  0.000  0.000  0.000
Cd  0.500  0.500  0.500

## Properties
Volume: 18.4 Å³/atom
E: -4.106 eV per atom

# 8
First-principles (PBE-GGA) data for an optimized crystal structure of ScTlCdCo, as listed in OQMD via LeMat-Bulk.

Cell: 4.744 4.744 4.744 Å, 60.00 60.00 60.00°
Fractional coordinates of all 4 atoms:
Co  0.750  0.750  0.750
Tl  0.000  0.000  0.000
Cd  0.250  0.250  0.250
Sc  0.500  0.500  0.500

## Properties
Volume: 18.9 Å³/atom
E: -4.057 eV per atom

# 9
First-principles (PBE-GGA) data for an optimized crystal structure of CdCoSnSe3, as listed in OQMD via LeMat-Bulk.

Cell: 3.764 7.323 10.842 Å, 90.00 90.00 75.11°
Fractional coordinates of all 12 atoms:
Cd  0.509  0.982  0.750
Sn  0.794  0.412  0.750
Sn  0.206  0.588  0.250
Cd  0.491  0.018  0.250
Se  0.143  0.713  0.750
Se  0.395  0.211  0.945
Se  0.857  0.287  0.250
Co  0.000  0.000  0.000
Se  0.395  0.211  0.555
Co  0.000  0.000  0.500
Se  0.605  0.789  0.445
Se  0.605  0.789  0.055

## Properties
Volume: 24.1 Å³/atom
E: -3.848 eV per atom

# 10
First-principles (PBE-GGA) data for an optimized crystal structure of CdCoSnSe3, as listed in OQMD via LeMat-Bulk.

Cell: 3.928 6.944 10.745 Å, 90.00 90.00 73.57°
Fractional coordinates of all 12 atoms:
Se  0.642  0.716  0.075
Cd  0.000  0.000  0.500
Se  0.358  0.284  0.925
Cd  0.000  0.000  0.000
Sn  0.763  0.473  0.750
Se  0.642  0.716  0.425
Co  0.469  0.061  0.750
Co  0.531  0.939  0.250
Se  0.358  0.284  0.575
Sn  0.237  0.527  0.250
Se  0.076  0.847  0.750
Se  0.924  0.153  0.250

## Properties
Volume: 23.4 Å³/atom
E: -3.956 eV per atom

# 11
First-principles (PBE-GGA) data for an optimized crystal structure of CdCoSi2, as listed in OQMD via LeMat-Bulk.

Cell: 4.400 4.400 4.400 Å, 60.00 60.00 60.00°
Fractional coordinates of all 4 atoms:
Si  0.000  0.000  0.000
Si  0.250  0.250  0.250
Cd  0.500  0.500  0.500
Co  0.750  0.750  0.750

## Properties
Volume: 15.1 Å³/atom
E: -4.176 eV per atom

# 12
First-principles (PBE-GGA) data for an optimized crystal structure of TaCdCoSi, as listed in OQMD via LeMat-Bulk.

Cell: 4.408 4.408 4.408 Å, 60.00 60.00 60.00°
Fractional coordinates of all 4 atoms:
Ta  0.250  0.250  0.250
Si  0.000  0.000  0.000
Cd  0.500  0.500  0.500
Co  0.750  0.750  0.750

## Properties
Volume: 15.1 Å³/atom
E: -5.954 eV per atom